[1]
# NaAlAg2Cl6, optimized geometry, DFT PBE
data_NaAlAg2Cl6
_space_group_name_H-M_alt 'P 1'
_space_group_IT_number 1
_cell_length_a 5.4854
_cell_length_b 7.2696
_cell_length_c 7.2696
_cell_angle_alpha 90.00
_cell_angle_beta 90.00
_cell_angle_gamma 90.00
loop_
_space_group_symop_operation_xyz
'x,y,z'
loop_
_atom_site_label
_atom_site_type_symbol
_atom_site_fract_x
_atom_site_fract_y
_atom_site_fract_z
Na1 Na 0.6141 0.5000 0.5000
Al1 Al 0.6502 0.0000 0.0000
Ag1 Ag 0.8880 0.5000 0.0000
Ag2 Ag 0.8880 0.0000 0.5000
Cl1 Cl 0.7533 0.2190 0.2190
Cl2 Cl 0.7533 0.2190 0.7810
Cl3 Cl 0.1318 0.5000 0.5000
Cl4 Cl 0.2615 0.0000 0.0000
Cl5 Cl 0.7533 0.7810 0.7810
Cl6 Cl 0.7533 0.7810 0.2190
# Size of the total moment in μB per atom: 0.008
# Energy relative to the elements, uncorrected in meV/atom: -997.6
# DFT total energy in eV/atom: -3.182

[2]
# NaAl2AgCl8, optimized geometry, DFT PBE
data_NaAl2AgCl8
_space_group_name_H-M_alt 'P 1'
_space_group_IT_number 1
_cell_length_a 6.5146
_cell_length_b 6.5146
_cell_length_c 9.3338
_cell_angle_alpha 90.00
_cell_angle_beta 90.00
_cell_angle_gamma 120.00
loop_
_space_group_symop_operation_xyz
'x,y,z'
loop_
_atom_site_label
_atom_site_type_symbol
_atom_site_fract_x
_atom_site_fract_y
_atom_site_fract_z
Na1 Na 0.0000 0.0000 0.0000
Al1 Al 0.6667 0.3333 0.2362
Al2 Al 0.3333 0.6667 0.7638
Ag1 Ag 0.0000 0.0000 0.5000
Cl1 Cl 0.3333 0.6667 0.9938
Cl2 Cl 0.3393 0.3108 0.3065
Cl3 Cl 0.6892 0.0285 0.3065
Cl4 Cl 0.6667 0.3333 0.0062
Cl5 Cl 0.3108 0.9715 0.6935
Cl6 Cl 0.6607 0.6892 0.6935
Cl7 Cl 0.0285 0.3393 0.6935
Cl8 Cl 0.9715 0.6607 0.3065
# Size of the total moment in μB per atom: 0.000
# Energy relative to the elements, uncorrected in meV/atom: -1378.6
# DFT total energy in eV/atom: -3.581

[3]
# Al2AgCl5O, optimized geometry, DFT PBE
data_Al2AgCl5O
_space_group_name_H-M_alt 'P 1'
_space_group_IT_number 1
_cell_length_a 11.6195
_cell_length_b 12.8052
_cell_length_c 13.3772
_cell_angle_alpha 90.00
_cell_angle_beta 90.00
_cell_angle_gamma 90.00
loop_
_space_group_symop_operation_xyz
'x,y,z'
loop_
_atom_site_label
_atom_site_type_symbol
_atom_site_fract_x
_atom_site_fract_y
_atom_site_fract_z
Al1 Al 0.7978 0.5299 0.8604
Al2 Al 0.5097 0.8966 0.9985
Al3 Al 0.0097 0.6034 0.0015
Al4 Al 0.7022 0.0299 0.8604
Al5 Al 0.9903 0.3966 0.9985
Al6 Al 0.2022 0.4701 0.1396
Al7 Al 0.5097 0.6034 0.4985
Al8 Al 0.9903 0.1034 0.4985
Al9 Al 0.4903 0.3966 0.5015
Al10 Al 0.2978 0.5299 0.6396
Al11 Al 0.2022 0.0299 0.6396
Al12 Al 0.7022 0.4701 0.3604
Al13 Al 0.0097 0.8966 0.5015
Al14 Al 0.2978 0.9701 0.1396
Al15 Al 0.4903 0.1034 0.0015
Al16 Al 0.7978 0.9701 0.3604
Ag1 Ag 0.0290 0.3360 0.6954
Ag2 Ag 0.9710 0.6640 0.3046
Ag3 Ag 0.5290 0.3360 0.8046
Ag4 Ag 0.5290 0.1640 0.3046
Ag5 Ag 0.4710 0.6640 0.1954
Ag6 Ag 0.9710 0.8360 0.8046
Ag7 Ag 0.0290 0.1640 0.1954
Ag8 Ag 0.4710 0.8360 0.6954
Cl1 Cl 0.2177 0.3030 0.1502
Cl2 Cl 0.6401 0.0325 0.4225
Cl3 Cl 0.6084 0.6890 0.6055
Cl4 Cl 0.2823 0.6970 0.6502
Cl5 Cl 0.1084 0.6890 0.8945
Cl6 Cl 0.1401 0.0325 0.0775
Cl7 Cl 0.8916 0.1890 0.6055
Cl8 Cl 0.7177 0.3030 0.3498
Cl9 Cl 0.7177 0.1970 0.8498
Cl10 Cl 0.7823 0.8030 0.3498
Cl11 Cl 0.6652 0.9592 0.7180
Cl12 Cl 0.2823 0.8030 0.1502
Cl13 Cl 0.1084 0.8110 0.3945
Cl14 Cl 0.4330 0.7965 0.8891
Cl15 Cl 0.8916 0.3110 0.1055
Cl16 Cl 0.3599 0.9675 0.5775
Cl17 Cl 0.3599 0.5325 0.0775
Cl18 Cl 0.8348 0.4592 0.7180
Cl19 Cl 0.7823 0.6970 0.8498
Cl20 Cl 0.0670 0.2965 0.8891
Cl21 Cl 0.5670 0.2035 0.1109
Cl22 Cl 0.9330 0.7965 0.6109
Cl23 Cl 0.2177 0.1970 0.6502
Cl24 Cl 0.6084 0.8110 0.1055
Cl25 Cl 0.4330 0.7035 0.3891
Cl26 Cl 0.9330 0.7035 0.1109
Cl27 Cl 0.1401 0.4675 0.5775
Cl28 Cl 0.3348 0.4592 0.7820
Cl29 Cl 0.1652 0.5408 0.2820
Cl30 Cl 0.3916 0.3110 0.3945
Cl31 Cl 0.5670 0.2965 0.6109
Cl32 Cl 0.3916 0.1890 0.8945
Cl33 Cl 0.8599 0.9675 0.9225
Cl34 Cl 0.3348 0.0408 0.2820
Cl35 Cl 0.0670 0.2035 0.3891
Cl36 Cl 0.1652 0.9592 0.7820
Cl37 Cl 0.6401 0.4675 0.9225
Cl38 Cl 0.8348 0.0408 0.2180
Cl39 Cl 0.8599 0.5325 0.4225
Cl40 Cl 0.6652 0.5408 0.2180
O1 O 0.4141 0.9929 0.0548
O2 O 0.9141 0.9929 0.4452
O3 O 0.9141 0.5071 0.9452
O4 O 0.0859 0.4929 0.0548
O5 O 0.5859 0.0071 0.9452
O6 O 0.4141 0.5071 0.5548
O7 O 0.0859 0.0071 0.5548
O8 O 0.5859 0.4929 0.4452
# Size of the total moment in μB per atom: 0.000
# Energy relative to the elements, uncorrected in meV/atom: -1587.6
# DFT total energy in eV/atom: -4.313

[4]
# Rb2AlAgCl6, optimized geometry, DFT PBE
data_Rb2AlAgCl6
_space_group_name_H-M_alt 'P 1'
_space_group_IT_number 1
_cell_length_a 7.2291
_cell_length_b 7.2290
_cell_length_c 7.2289
_cell_angle_alpha 59.98
_cell_angle_beta 59.98
_cell_angle_gamma 59.98
loop_
_space_group_symop_operation_xyz
'x,y,z'
loop_
_atom_site_label
_atom_site_type_symbol
_atom_site_fract_x
_atom_site_fract_y
_atom_site_fract_z
Al1 Al 0.0000 0.0000 0.0000
Rb1 Rb 0.2500 0.2500 0.2500
Rb2 Rb 0.7500 0.7500 0.7500
Ag1 Ag 0.5000 0.5000 0.5000
Cl1 Cl 0.7694 0.2307 0.7694
Cl2 Cl 0.2306 0.2306 0.7693
Cl3 Cl 0.2306 0.7693 0.2306
Cl4 Cl 0.7693 0.2306 0.2306
Cl5 Cl 0.2307 0.7694 0.7694
Cl6 Cl 0.7694 0.7694 0.2307
# Size of the total moment in μB per atom: 0.000
# Energy relative to the elements, uncorrected in meV/atom: -1494.9
# DFT total energy in eV/atom: -3.456

[5]
# Rb2AlAgCl6, optimized geometry, DFT PBE
data_Rb2AlAgCl6
_space_group_name_H-M_alt 'P 1'
_space_group_IT_number 1
_cell_length_a 6.7507
_cell_length_b 7.1591
_cell_length_c 7.1591
_cell_angle_alpha 120.00
_cell_angle_beta 90.00
_cell_angle_gamma 90.00
loop_
_space_group_symop_operation_xyz
'x,y,z'
loop_
_atom_site_label
_atom_site_type_symbol
_atom_site_fract_x
_atom_site_fract_y
_atom_site_fract_z
Rb1 Rb 0.1904 0.3333 0.6667
Rb2 Rb 0.8096 0.6667 0.3333
Al1 Al 0.0000 0.0000 0.0000
Ag1 Ag 0.5000 0.0000 0.0000
Cl1 Cl 0.7964 0.1549 0.3097
Cl2 Cl 0.7964 0.1549 0.8451
Cl3 Cl 0.7964 0.6903 0.8451
Cl4 Cl 0.2036 0.8451 0.1549
Cl5 Cl 0.2036 0.3097 0.1549
Cl6 Cl 0.2036 0.8451 0.6903
# Size of the total moment in μB per atom: 0.000
# Energy relative to the elements, uncorrected in meV/atom: -1502.9
# DFT total energy in eV/atom: -3.464

[6]
# RbAlAgCl6, optimized geometry, DFT PBE
data_RbAlAgCl6
_space_group_name_H-M_alt 'P 1'
_space_group_IT_number 1
_cell_length_a 6.4722
_cell_length_b 6.8955
_cell_length_c 7.2307
_cell_angle_alpha 93.20
_cell_angle_beta 91.79
_cell_angle_gamma 57.87
loop_
_space_group_symop_operation_xyz
'x,y,z'
loop_
_atom_site_label
_atom_site_type_symbol
_atom_site_fract_x
_atom_site_fract_y
_atom_site_fract_z
Rb1 Rb 0.0279 0.9862 0.0005
Al1 Al 0.3491 0.3253 0.4998
Ag1 Ag 0.6659 0.6673 0.5003
Cl1 Cl 0.0206 0.3760 0.3036
Cl2 Cl 0.3468 0.0342 0.6677
Cl3 Cl 0.6116 0.3376 0.7066
Cl4 Cl 0.0224 0.6028 0.6966
Cl5 Cl 0.3463 0.6192 0.3324
Cl6 Cl 0.6092 0.0515 0.2924
# Size of the total moment in μB per atom: 0.114
# Energy relative to the elements, uncorrected in meV/atom: -1223.1
# DFT total energy in eV/atom: -3.294

[7]
# RbAlAg2Cl, optimized geometry, DFT PBE
data_RbAlAg2Cl
_space_group_name_H-M_alt 'P 1'
_space_group_IT_number 1
_cell_length_a 5.9479
_cell_length_b 7.3673
_cell_length_c 5.9479
_cell_angle_alpha 90.00
_cell_angle_beta 90.00
_cell_angle_gamma 90.00
loop_
_space_group_symop_operation_xyz
'x,y,z'
loop_
_atom_site_label
_atom_site_type_symbol
_atom_site_fract_x
_atom_site_fract_y
_atom_site_fract_z
Al1 Al 0.0000 0.5000 0.0000
Rb1 Rb 0.0000 0.0000 0.0000
Ag1 Ag 0.0000 0.0000 0.5000
Ag2 Ag 0.5000 0.0000 0.0000
Cl1 Cl 0.5000 0.5000 0.5000
# Size of the total moment in μB per atom: 0.000
# Energy relative to the elements, uncorrected in meV/atom: 1010.3
# DFT total energy in eV/atom: -1.442

[8]
# AlAg2SCl, optimized geometry, DFT PBE
data_AlAg2SCl
_space_group_name_H-M_alt 'P 1'
_space_group_IT_number 1
_cell_length_a 4.7338
_cell_length_b 5.9273
_cell_length_c 4.7338
_cell_angle_alpha 90.00
_cell_angle_beta 90.00
_cell_angle_gamma 90.00
loop_
_space_group_symop_operation_xyz
'x,y,z'
loop_
_atom_site_label
_atom_site_type_symbol
_atom_site_fract_x
_atom_site_fract_y
_atom_site_fract_z
S1 S 0.0000 0.0000 0.0000
Al1 Al 0.0000 0.5000 0.0000
Ag1 Ag 0.0000 0.0000 0.5000
Ag2 Ag 0.5000 0.0000 0.0000
Cl1 Cl 0.5000 0.5000 0.5000
# Size of the total moment in μB per atom: 0.000
# Energy relative to the elements, uncorrected in meV/atom: 12.8
# DFT total energy in eV/atom: -3.071

[9]
# Al2AgSbCl, optimized geometry, DFT PBE
data_Al2AgSbCl
_space_group_name_H-M_alt 'P 1'
_space_group_IT_number 1
_cell_length_a 5.0384
_cell_length_b 4.9351
_cell_length_c 5.0384
_cell_angle_alpha 90.00
_cell_angle_beta 90.00
_cell_angle_gamma 90.00
loop_
_space_group_symop_operation_xyz
'x,y,z'
loop_
_atom_site_label
_atom_site_type_symbol
_atom_site_fract_x
_atom_site_fract_y
_atom_site_fract_z
Sb1 Sb 0.5000 0.5000 0.5000
Al1 Al 0.0000 0.0000 0.5000
Al2 Al 0.5000 0.0000 0.0000
Ag1 Ag 0.0000 0.5000 0.0000
Cl1 Cl 0.0000 0.0000 0.0000
# Size of the total moment in μB per atom: 0.000
# Energy relative to the elements, uncorrected in meV/atom: 487.7
# DFT total energy in eV/atom: -2.773

[10]
# AlAg2SeCl, optimized geometry, DFT PBE
data_AlAg2SeCl
_space_group_name_H-M_alt 'P 1'
_space_group_IT_number 1
_cell_length_a 5.1416
_cell_length_b 4.5622
_cell_length_c 5.1416
_cell_angle_alpha 90.00
_cell_angle_beta 90.00
_cell_angle_gamma 90.00
loop_
_space_group_symop_operation_xyz
'x,y,z'
loop_
_atom_site_label
_atom_site_type_symbol
_atom_site_fract_x
_atom_site_fract_y
_atom_site_fract_z
Al1 Al 0.0000 0.0000 0.0000
Se1 Se 0.5000 0.5000 0.5000
Ag1 Ag 0.0000 0.0000 0.5000
Ag2 Ag 0.5000 0.0000 0.0000
Cl1 Cl 0.0000 0.5000 0.0000
# Size of the total moment in μB per atom: 0.000
# Energy relative to the elements, uncorrected in meV/atom: 341.2
# DFT total energy in eV/atom: -2.614

[11]
# TaAlAgCl2, optimized geometry, DFT PBE
data_TaAlAgCl2
_space_group_name_H-M_alt 'P 1'
_space_group_IT_number 1
_cell_length_a 4.6836
_cell_length_b 5.6334
_cell_length_c 4.6836
_cell_angle_alpha 90.00
_cell_angle_beta 90.00
_cell_angle_gamma 90.00
loop_
_space_group_symop_operation_xyz
'x,y,z'
loop_
_atom_site_label
_atom_site_type_symbol
_atom_site_fract_x
_atom_site_fract_y
_atom_site_fract_z
Cl1 Cl 0.0000 0.0000 0.5000
Cl2 Cl 0.5000 0.0000 0.0000
Al1 Al 0.0000 0.5000 0.0000
Ag1 Ag 0.5000 0.5000 0.5000
Ta1 Ta 0.0000 0.0000 0.0000
# Size of the total moment in μB per atom: 0.000
# Energy relative to the elements, uncorrected in meV/atom: 144.2
# DFT total energy in eV/atom: -4.284

[12]
# AlTl2AgCl6, optimized geometry, DFT PBE
data_AlTl2AgCl6
_space_group_name_H-M_alt 'P 1'
_space_group_IT_number 1
_cell_length_a 6.7543
_cell_length_b 7.0711
_cell_length_c 7.0711
_cell_angle_alpha 120.00
_cell_angle_beta 90.00
_cell_angle_gamma 90.00
loop_
_space_group_symop_operation_xyz
'x,y,z'
loop_
_atom_site_label
_atom_site_type_symbol
_atom_site_fract_x
_atom_site_fract_y
_atom_site_fract_z
Al1 Al 0.0000 0.0000 0.0000
Tl1 Tl 0.1550 0.3333 0.6667
Tl2 Tl 0.8450 0.6667 0.3333
Ag1 Ag 0.5000 0.0000 0.0000
Cl1 Cl 0.7970 0.1562 0.3125
Cl2 Cl 0.7970 0.1562 0.8438
Cl3 Cl 0.7970 0.6875 0.8438
Cl4 Cl 0.2030 0.8438 0.1562
Cl5 Cl 0.2030 0.3125 0.1562
Cl6 Cl 0.2030 0.8438 0.6875
# Size of the total moment in μB per atom: 0.000
# Energy relative to the elements, uncorrected in meV/atom: -1109.7
# DFT total energy in eV/atom: -3.350

Question: Number 2 is which compound?
Answer: NaAl2AgCl8

Question: Which value of size of the total moment does entry 2 give?
Answer: 0.000 μB per atom

Question: What is the formula in the ninth record?
Answer: Al2AgSbCl